Material: CrNi2Hg
Method: DFT, PBE
State: optimized geometry

extended XYZ file:
```
4
Lattice="3.972 0.036 0.080 -0.038 3.972 0.080 -0.071 -0.072 3.568" Properties=species:S:1:pos:R:3 pbc="T T T"
Cr 1.951 -0.018 1.824
Hg -0.054 1.950 1.824
Ni 0.000 0.000 0.000
Ni 1.967 2.004 0.080
```

Symmetry   P4/mmm (123)
ΔH_f (0 K)   25.03 kJ per mole of atoms
E_tot   -0.1879 Ha/atom